No. 1
Entry from the Alexandria database: crystalline Ac6TlIr2I3 at its relaxed geometry (PBE).

Electronic total energy = -120.9 eV per cell
Spin magnetization = 0.000 μB per cell

a b c (Å): 7.8818 13.6510 9.0058
angles (deg): 90.00 107.08 90.00
Last column: nearest neighbours and their distance in Å.
Space group C2/m (No. 12)
Symmetry-distinct sites (fractional):
Ac  0.1988  0.0000  0.1901 x4  2 Ir 3.00, 1 Tl 3.31
Ac  0.2466  0.3173  0.1910 x8  2 Ir 3.00, 1 Tl 3.32
Tl  0.0000  0.5000  0.0000 x2  6 Ac 3.31-3.32
Ir  0.0000  0.1670  0.0000 x4  6 Ac 3.00
I  0.0000  0.0000  0.5000 x2  6 Ac 3.58-3.83
I  0.0000  0.3390  0.5000 x4  6 Ac 3.61-3.85

***

No. 2
Entry from the Alexandria database: crystalline Ac8TlIr3I4 at its relaxed geometry (PBE).

Electronic total energy = -165.9 eV per cell
Spin magnetization = 0.000 μB per cell

a b c (Å): 15.6840 9.0520 10.0521
angles (deg): 90.00 121.42 90.00
Last column: nearest neighbours and their distance in Å.
Space group C2/m (No. 12)
Symmetry-distinct sites (fractional):
Ac  0.0273  0.2306  0.3132 x8  2 Ir 2.98-2.99, 1 Tl 3.24
Ac  0.2294  0.0000  0.6875 x4  3 Ir 3.07
Ac  0.2419  0.5000  0.6867 x4  2 Ir 2.98, 1 Tl 3.24
Tl  0.0000  0.5000  0.5000 x2  6 Ac 3.24
Ir  0.0000  0.0000  0.5000 x2  6 Ac 2.98-3.07
Ir  0.2500  0.2500  0.5000 x4  6 Ac 2.98-3.07
I  0.0000  0.0000  0.0000 x2  6 Ac 3.61
I  0.0000  0.5000  0.0000 x2  6 Ac 3.74-3.83
I  0.2500  0.2500  0.0000 x4  6 Ac 3.75-3.83

***

No. 3
Entry from the Alexandria database: crystalline Ac2TmIr2I2 at its relaxed geometry (PBE).

Electronic total energy = -78.4 eV per cell
Spin magnetization = 0.000 μB per cell

a b c (Å): 5.1843 5.1843 17.4705
angles (deg): 90.00 90.00 90.00
Last column: nearest neighbours and their distance in Å.
Space group I4/mmm (No. 139)
Symmetry-distinct sites (fractional):
Ac  0.0000  0.0000  0.1054 x4  4 Ir 3.18
Tm  0.0000  0.0000  0.5000 x2  4 Ir 2.59
Ir  0.0000  0.5000  0.0000 x4  2 Tm 2.59
I  0.0000  0.0000  0.3115 x4  1 Tm 3.29, 1 Ac 3.60

***

No. 4
Entry from the Alexandria database: crystalline AcYIrI at its relaxed geometry (PBE).

Electronic total energy = -74.8 eV per cell
Spin magnetization = 0.000 μB per cell

a b c (Å): 4.2609 4.2609 24.8486
angles (deg): 90.00 90.00 120.00
Last column: nearest neighbours and their distance in Å.
Space group R3m (No. 160, hexagonal axes)
Symmetry-distinct sites (fractional):
Ac  0.0000  0.0000  0.0000 x3  3 Ir 2.95
Y  0.0000  0.0000  0.7871 x3  3 Ir 2.82
Ir  0.0000  0.0000  0.3986 x3  3 Y 2.82, 3 Ac 2.95
I  0.0000  0.0000  0.2160 x3  3 Y 3.42, 3 Ac 3.81

***

No. 5
Entry from the Alexandria database: crystalline Ac8ZnIr3I4 at its relaxed geometry (PBE).

Electronic total energy = -246.1 eV per cell
Spin magnetization = 0.000 μB per cell

a b c (Å): 8.9267 8.9267 25.8515
angles (deg): 90.00 90.00 120.00
Last column: nearest neighbours and their distance in Å.
Space group R-3m (No. 166, hexagonal axes)
Symmetry-distinct sites (fractional):
Ac  0.0000  0.0000  0.2284 x6  3 Ir 3.03
Ac  0.0160  0.5080  0.7717 x18  2 Ir 2.98, 1 Zn 3.14
Zn  0.0000  0.0000  0.5000 x3  6 Ac 3.14
Ir  0.0000  0.5000  0.5000 x9  6 Ac 2.98-3.03
I  0.0000  0.0000  0.0000 x3  6 Ac 3.66
I  0.0000  0.5000  0.0000 x9  6 Ac 3.74-3.79

***

No. 6
Entry from the Alexandria database: crystalline Ac6ZnIr2I3 at its relaxed geometry (PBE).

Electronic total energy = -118.5 eV per cell
Spin magnetization = 0.000 μB per cell

a b c (Å): 7.7645 13.4353 9.0106
angles (deg): 90.00 106.73 90.00
Last column: nearest neighbours and their distance in Å.
Space group C2/m (No. 12)
Symmetry-distinct sites (fractional):
Ac  0.2093  0.0000  0.1869 x4  2 Ir 2.99, 1 Zn 3.18
Ac  0.2393  0.3234  0.1876 x8  2 Ir 2.99, 1 Zn 3.18
Zn  0.0000  0.5000  0.0000 x2  6 Ac 3.18
Ir  0.0000  0.1669  0.0000 x4  6 Ac 2.99
I  0.0000  0.0000  0.5000 x2  6 Ac 3.64-3.79
I  0.0000  0.3366  0.5000 x4  6 Ac 3.66-3.80

***

No. 7
Entry from the Alexandria database: crystalline KAcI at its relaxed geometry (PBE).

Electronic total energy = -17.8 eV per cell
Spin magnetization = 0.005 μB per cell

a b c (Å): 4.7960 4.7960 12.3777
angles (deg): 90.00 90.00 90.00
Last column: nearest neighbours and their distance in Å.
Space group P4/nmm (No. 129, origin choice 2)
Symmetry-distinct sites (fractional):
K  0.2500  0.2500  0.1726 x2  5 I 3.42-3.80
Ac  0.2500  0.2500  0.5819 x2  1 I 3.52
I  0.2500  0.2500  0.8659 x2  5 K 3.42-3.80, 1 Ac 3.52

***

No. 8
Entry from the Alexandria database: crystalline KAcI3 at its relaxed geometry (PBE).

Electronic total energy = -15.8 eV per cell
Spin magnetization = 0.014 μB per cell

a b c (Å): 6.5086 6.5086 6.5086
angles (deg): 90.00 90.00 90.00
Last column: nearest neighbours and their distance in Å.
Space group Pm-3m (No. 221)
Symmetry-distinct sites (fractional):
K  0.0000  0.0000  0.0000 x1  12 I 4.60
Ac  0.5000  0.5000  0.5000 x1  6 I 3.25
I  0.0000  0.5000  0.5000 x3  2 Ac 3.25

***

No. 9
Entry from the Alexandria database: crystalline K5Ac3I12 at its relaxed geometry (PBE).

Electronic total energy = -493.8 eV per cell
Spin magnetization = 8.636 μB per cell

a b c (Å): 19.9338 19.9338 19.9338
angles (deg): 90.00 90.00 90.00
Last column: nearest neighbours and their distance in Å.
Space group Ia-3d (No. 230)
Symmetry-distinct sites (fractional):
K  0.0000  0.0000  0.0000 x16  6 I 3.43
K  0.0000  0.2500  0.3750 x24  4 I 3.29
Ac  0.0000  0.2500  0.1250 x24  8 I 3.47-3.80
I  0.0182  0.0788  0.6521 x96  2 K 3.29-3.43, 1 Ac 3.47

***

No. 10
Entry from the Alexandria database: crystalline K2AcI5 at its relaxed geometry (PBE).

Electronic total energy = -105.4 eV per cell
Spin magnetization = 0.000 μB per cell

a b c (Å): 14.7782 10.1883 9.4141
angles (deg): 90.00 90.00 90.00
Last column: nearest neighbours and their distance in Å.
Space group Pnma (No. 62)
Symmetry-distinct sites (fractional):
K  0.1747  0.0014  0.0452 x8  8 I 3.69-3.91
Ac  0.0065  0.2500  0.5790 x4  7 I 3.31-3.39
I  0.0071  0.2500  0.9362 x4  1 Ac 3.36, 4 K 3.69-3.72
I  0.0847  0.5459  0.6666 x8  2 Ac 3.33-3.39
I  0.1823  0.2500  0.3607 x4  1 Ac 3.31
I  0.2112  0.7500  0.3239 x4  1 Ac 3.35, 4 K 3.69-3.71

***

No. 11
Entry from the Alexandria database: crystalline K2AcI at its relaxed geometry (PBE).

Electronic total energy = -28.4 eV per cell
Spin magnetization = 0.000 μB per cell

a b c (Å): 4.2191 4.2191 38.9980
angles (deg): 90.00 90.00 120.00
Last column: nearest neighbours and their distance in Å.
Space group R-3m (No. 166, hexagonal axes)
Symmetry-distinct sites (fractional):
K  0.0000  0.0000  0.1044 x6  3 I 3.44
Ac  0.0000  0.0000  0.0000 x3  2 K 4.07, 6 Ac 4.22
I  0.0000  0.0000  0.5000 x3  6 K 3.44

***

No. 12
Entry from the Alexandria database: crystalline KLi2AcI6 at its relaxed geometry (PBE).

Electronic total energy = -95.9 eV per cell
Spin magnetization = 0.000 μB per cell

a b c (Å): 8.0956 8.0956 21.6408
angles (deg): 90.00 90.00 120.00
Last column: nearest neighbours and their distance in Å.
Space group R3 (No. 146, hexagonal axes)
Symmetry-distinct sites (fractional):
K  0.0000  0.0000  0.0000 x3  6 I 3.47-3.62
Li  0.0000  0.0000  0.2057 x3  6 I 2.98-3.20
Li  0.0000  0.0000  0.7104 x3  6 I 3.02-3.19
Ac  0.0000  0.0000  0.5139 x3  6 I 3.29
I  0.0007  0.3695  0.4509 x9  2 Li 3.02-3.20, 1 Ac 3.29
I  0.0741  0.7383  0.2822 x9  2 Li 2.98-3.19, 1 Ac 3.29